Record 1
DFT (PBE) results for an optimized crystal structure of Ni2SbPb.

The structure in extended XYZ format:
```
4
Lattice="5.716 0.019 0.000 3.133 4.781 0.000 -4.425 -2.400 2.709" Properties=species:S:1:pos:R:3 pbc="T T T"
Ni 1.567 2.390 1.354
Ni 0.000 0.000 0.000
Sb 2.858 0.009 1.354
Pb 4.425 2.400 0.000
```

Calculated values
Uncorrected formation energy ... 0.29 eV/atom
Final energy ... -0.1674 hartree per atom


Record 2
DFT (PBE) results for an optimized crystal structure of NiSbPb4.

The structure in extended XYZ format:
```
6
Lattice="2.150 -5.648 2.044 -3.907 -3.960 3.123 -1.995 -5.375 -2.797" Properties=species:S:1:pos:R:3 pbc="T T T"
Ni 0.000 0.000 0.000
Pb -1.405 -5.612 0.888
Pb -3.365 -7.599 2.454
Pb -0.326 -8.446 1.913
Pb -2.406 -8.309 -0.515
Sb -2.814 -11.237 1.777
```

Calculated values
Uncorrected formation energy ... 0.65 eV/atom
Final energy ... -0.1275 hartree per atom


Record 3
DFT (PBE) results for an optimized crystal structure of Ni2SbPb.

The structure in extended XYZ format:
```
4
Lattice="4.771 0.000 0.000 2.385 4.131 0.000 2.385 1.377 3.895" Properties=species:S:1:pos:R:3 pbc="T T T"
Ni 7.156 4.131 2.921
Ni 0.000 0.000 0.000
Sb 2.385 1.377 0.974
Pb 4.771 2.754 1.948
```

Calculated values
Uncorrected formation energy ... 0.59 eV/atom
Final energy ... -0.1564 hartree per atom


Record 4
DFT (PBE) results for an optimized crystal structure of NiSbPb2.

The structure in extended XYZ format:
```
4
Lattice="-3.360 0.048 0.505 -0.500 -1.052 -3.192 0.273 -7.990 2.589" Properties=species:S:1:pos:R:3 pbc="T T T"
Pb 0.151 -4.426 1.434
Pb 0.259 -7.559 2.449
Ni -1.725 -6.494 0.598
Sb -1.861 -2.499 -0.697
```

Calculated values
Uncorrected formation energy ... 0.19 eV/atom
Final energy ... -0.1522 hartree per atom


Record 5
DFT (PBE) results for an optimized crystal structure of NiSbPb2.

The structure in extended XYZ format:
```
4
Lattice="6.947 0.610 -0.190 4.057 5.672 0.190 -4.935 -4.134 2.687" Properties=species:S:1:pos:R:3 pbc="T T T"
Ni 2.480 2.435 1.439
Pb 3.709 -0.219 1.249
Pb 0.738 0.422 0.000
Sb 4.644 2.652 0.000
```

Calculated values
Uncorrected formation energy ... 0.12 eV/atom
Final energy ... -0.1546 hartree per atom


Record 6
DFT (PBE) results for an optimized crystal structure of Ni2SbPb.

The structure in extended XYZ format:
```
8
Lattice="6.897 0.000 0.000 0.000 6.897 0.000 3.449 3.449 3.464" Properties=species:S:1:pos:R:3 pbc="T T T"
Ni 5.173 5.338 2.598
Ni 5.008 1.724 0.866
Ni 1.889 5.173 0.866
Ni 8.621 8.457 2.598
Pb 0.000 0.000 0.000
Pb 6.897 3.449 1.732
Sb 3.449 6.897 1.732
Sb 3.449 3.449 0.000
```

Calculated values
Uncorrected formation energy ... 0.31 eV/atom
Final energy ... -0.1668 hartree per atom


Record 7
DFT (PBE) results for an optimized crystal structure of NiSbPb2Se.

The structure in extended XYZ format:
```
5
Lattice="-4.020 3.236 -1.816 -2.770 -1.007 4.338 2.328 4.284 2.481" Properties=species:S:1:pos:R:3 pbc="T T T"
Pb 1.164 2.142 1.240
Pb -2.010 1.618 -0.908
Ni -2.231 3.257 2.502
Se 0.000 0.000 0.000
Sb -1.385 -0.503 2.169
```

Calculated values
Uncorrected formation energy ... 0.90 eV/atom
Final energy ... -0.1197 hartree per atom


Record 8
DFT (PBE) results for an optimized crystal structure of Ta2NiSbPb.

The structure in extended XYZ format:
```
5
Lattice="5.153 0.000 0.000 0.000 4.536 0.000 0.000 0.000 5.153" Properties=species:S:1:pos:R:3 pbc="T T T"
Ta 2.577 0.000 0.000
Ta 0.000 0.000 2.577
Ni 0.000 2.268 0.000
Pb 2.577 2.268 2.577
Sb 0.000 0.000 0.000
```

Calculated values
Uncorrected formation energy ... 1.31 eV/atom
Final energy ... -0.2261 hartree per atom


Which of these has the lowest final energy?
Ta2NiSbPb


Which of these has the lowest uncorrected formation energy?
number 5